Here is Re2MoAu after structural relaxation from the Alexandria database. Energies are from GGA-PBE.

Properties
E_form   0.3894 eV/atom
Relative energy among the computed polymorphs   181 meV/atom
E   -9.36 eV per atom

Cell: 3.3386 3.3386 5.8131 Å, 90.00 90.00 90.00°
Closest atoms and distances in Å follow each position.
Fractional positions:
Re  0.0000  0.0000  0.0094  4 Re 2.65, 4 Mo 2.73, 2 Au 2.84-2.97
Re  0.5000  0.5000  0.2175  1 Mo 2.58, 4 Re 2.65, 4 Au 2.87
Mo  0.5000  0.5000  0.7744  5 Re 2.58-2.73, 4 Au 2.85
Au  0.0000  0.0000  0.4987  6 Re 2.84-2.97, 4 Mo 2.85